Entry a
An optimized crystal structure of LaZr2Tl, computed with PBE.

Output
The symmetry is P4mm. The total magnetization is 0.001 μB/f.u.

a b c (Å): 3.3263 3.3263 9.6251
angles (deg): 90.00 90.00 90.00
With the nearest neighbours (Å) after each atom.
Atoms (fractional coordinates):
La1 0.0000 0.0000 0.5033  4 La 3.33, 4 Tl 3.49, 4 Zr 3.59
Zr1 0.5000 0.5000 0.2218  8 Zr 3.15-3.33
Zr2 0.0000 0.0000 0.0042  8 Zr 3.15-3.33, 4 Tl 3.25
Tl1 0.5000 0.5000 0.7707  4 Zr 3.25, 4 Tl 3.33, 4 La 3.49

---

Entry b
An optimized crystal structure of LaZr2Tl, computed with PBE.

Output
The symmetry is F-43m. The total magnetization is 0.000 μB/f.u.

a b c (Å): 5.2621 5.2621 5.2621
angles (deg): 60.00 60.00 60.00
With the nearest neighbours (Å) after each atom.
Atoms (fractional coordinates):
La1 0.5000 0.5000 0.5000  4 Tl 3.22, 4 Zr 3.22
Tl1 0.7500 0.7500 0.7500  4 Zr 3.22, 4 La 3.22
Zr1 0.2500 0.2500 0.2500  4 Zr 3.22, 4 La 3.22
Zr2 0.0000 0.0000 0.0000  4 Zr 3.22, 4 Tl 3.22

---

Which one is most stable, and which one is least stable? entry a is the most stable of them, while entry b is the least stable.

---

Entry a
An optimized crystal structure of TbCeS3, computed with PBE.

Output
The symmetry is Pnma. The total magnetization is 0.921 μB/f.u.

a b c (Å): 3.9897 7.4020 15.3163
angles (deg): 90.00 90.00 90.00
With the nearest neighbours (Å) after each atom.
Atoms (fractional coordinates):
S1 0.7500 0.4891 0.8941  3 Tb 2.76-2.92, 1 Ce 3.06
Ce1 0.2500 0.1392 0.2038  8 S 2.80-3.13
Tb1 0.2500 0.2658 0.9565  7 S 2.76-2.92
S2 0.2500 0.1491 0.7817  4 Ce 2.80-2.93, 1 Tb 2.81, 1 S 3.10
Tb2 0.7500 0.2342 0.4565  7 S 2.76-2.92
S3 0.2500 0.6491 0.7183  4 Ce 2.80-2.93, 1 Tb 2.81, 1 S 3.10
S4 0.2500 0.3748 0.5650  3 Tb 2.80-2.91, 2 Ce 2.92, 1 S 3.10
Tb3 0.7500 0.7342 0.0435  7 S 2.76-2.92
S5 0.7500 0.8509 0.2183  4 Ce 2.80-2.93, 1 Tb 2.81, 1 S 3.10
S6 0.7500 0.1252 0.0650  3 Tb 2.80-2.91, 2 Ce 2.92, 1 S 3.10
S7 0.7500 0.3509 0.2817  4 Ce 2.80-2.93, 1 Tb 2.81, 1 S 3.10
Ce2 0.7500 0.8608 0.7962  8 S 2.80-3.13
S8 0.2500 0.5109 0.1059  3 Tb 2.76-2.92, 1 Ce 3.06
S9 0.2500 0.8748 0.9350  3 Tb 2.80-2.91, 2 Ce 2.92, 1 S 3.10
S10 0.7500 0.6252 0.4350  3 Tb 2.80-2.91, 2 Ce 2.92, 1 S 3.10
Ce3 0.7500 0.3608 0.7038  8 S 2.80-3.13
Tb4 0.2500 0.7658 0.5435  7 S 2.76-2.92
S11 0.7500 0.9891 0.6059  3 Tb 2.76-2.92, 1 Ce 3.06
Ce4 0.2500 0.6392 0.2962  8 S 2.80-3.13
S12 0.2500 0.0109 0.3941  3 Tb 2.76-2.92, 1 Ce 3.06

---

Entry b
An optimized crystal structure of TbCeS3, computed with PBE.

Output
The symmetry is P2_1/m. The total magnetization is 0.888 μB/f.u.

a b c (Å): 3.9544 7.8808 7.8472
angles (deg): 94.20 90.00 90.00
With the nearest neighbours (Å) after each atom.
Atoms (fractional coordinates):
S1 0.7500 0.6235 0.3839  2 Tb 2.76, 3 Ce 2.94-3.01
S2 0.2500 0.6795 0.0210  1 Tb 2.66, 2 Ce 2.82
Tb1 0.7500 0.1448 0.6769  6 S 2.66-2.79
Ce1 0.7500 0.6193 0.7669  8 S 2.82-3.07
Tb2 0.2500 0.8552 0.3231  6 S 2.66-2.79
Ce2 0.2500 0.3807 0.2331  8 S 2.82-3.07
S3 0.7500 0.3205 0.9790  1 Tb 2.66, 2 Ce 2.82
S4 0.2500 0.3765 0.6161  2 Tb 2.76, 3 Ce 2.94-3.01
S5 0.2500 0.8984 0.6795  3 Tb 2.77-2.79, 2 Ce 3.07
S6 0.7500 0.1016 0.3205  3 Tb 2.77-2.79, 2 Ce 3.07

---

Which one is most stable, and which one is least stable? entry a is the most stable of them, while entry b is the least stable.

---

Entry a
An optimized crystal structure of ScPt2Rh2, computed with PBE.

Output
The symmetry is I4/mmm. The total magnetization is 0.000 μB/f.u.

a b c (Å): 4.8782 4.8782 5.2626
angles (deg): 117.61 117.61 90.00
With the nearest neighbours (Å) after each atom.
Atoms (fractional coordinates):
Pt1 0.3413 0.3413 0.6827  1 Pt 2.52, 4 Rh 2.54, 1 Sc 2.71
Rh1 0.2500 0.7500 0.5000  4 Pt 2.54
Pt2 0.6587 0.6587 0.3173  1 Pt 2.52, 4 Rh 2.54, 1 Sc 2.71
Sc1 0.0000 0.0000 0.0000  2 Pt 2.71
Rh2 0.7500 0.2500 0.5000  4 Pt 2.54

---

Entry b
An optimized crystal structure of ScPt2Rh2, computed with PBE.

Output
The symmetry is P4/mbm. The total magnetization is 0.000 μB/f.u.

a b c (Å): 6.8498 6.8498 3.5785
angles (deg): 90.00 90.00 90.00
With the nearest neighbours (Å) after each atom.
Atoms (fractional coordinates):
Sc1 0.0000 0.0000 0.0000  4 Pt 2.66
Rh1 0.3408 0.1592 0.5000  6 Pt 2.66-2.71
Pt1 0.6371 0.1371 0.0000  1 Pt 2.66, 2 Sc 2.66, 6 Rh 2.66-2.71
Rh2 0.8408 0.3408 0.5000  6 Pt 2.66-2.71
Pt2 0.1371 0.3629 0.0000  1 Pt 2.66, 2 Sc 2.66, 6 Rh 2.66-2.71
Pt3 0.8629 0.6371 0.0000  1 Pt 2.66, 2 Sc 2.66, 6 Rh 2.66-2.71
Rh3 0.1592 0.6592 0.5000  6 Pt 2.66-2.71
Rh4 0.6592 0.8408 0.5000  6 Pt 2.66-2.71
Pt4 0.3629 0.8629 0.0000  1 Pt 2.66, 2 Sc 2.66, 6 Rh 2.66-2.71
Sc2 0.5000 0.5000 0.0000  4 Pt 2.66

---

Which one is most stable, and which one is least stable? entry b is the most stable of them, while entry a is the least stable.

---

Entry a
An optimized crystal structure of TaPbCl2, computed with PBE.

Output
The symmetry is P4mm. The total magnetization is 0.000 μB/f.u.

a b c (Å): 3.1974 3.1974 8.6450
angles (deg): 90.00 90.00 90.00
With the nearest neighbours (Å) after each atom.
Atoms (fractional coordinates):
Cl1 0.5000 0.5000 0.2640  4 Pb 3.05, 4 Cl 3.20
Pb1 0.0000 0.0000 0.5012  4 Cl 3.05, 4 Pb 3.20, 4 Ta 3.35
Cl2 0.0000 0.0000 0.9481  4 Ta 2.66
Ta1 0.5000 0.5000 0.7868  4 Cl 2.66

---

Entry b
An optimized crystal structure of TaPbCl2, computed with PBE.

Output
The symmetry is I-42d. The total magnetization is 0.982 μB/f.u.

a b c (Å): 4.4662 4.4662 9.6583
angles (deg): 76.63 76.63 90.00
With the nearest neighbours (Å) after each atom.
Atoms (fractional coordinates):
Pb1 0.0000 0.0000 0.0000  4 Cl 2.86, 4 Ta 3.16
Cl1 0.8750 0.8299 0.7500  2 Ta 2.70, 2 Pb 2.86, 2 Cl 2.89
Ta1 0.5000 0.5000 0.0000  4 Cl 2.70
Cl2 0.1701 0.6250 0.2500  2 Ta 2.70, 2 Pb 2.86, 2 Cl 2.89
Pb2 0.7500 0.2500 0.5000  4 Cl 2.86, 4 Ta 3.16
Ta2 0.2500 0.7500 0.5000  4 Cl 2.70
Cl3 0.5799 0.1250 0.2500  2 Ta 2.70, 2 Pb 2.86, 2 Cl 2.89
Cl4 0.3750 0.4201 0.7500  2 Ta 2.70, 2 Pb 2.86, 2 Cl 2.89

---

Which one is most stable, and which one is least stable? entry a is the most stable of them, while entry b is the least stable.